TaPbW2: optimized geometry, PBE.

```
TaPbW2
1.0
-2.479 4.093 -9.258
-5.173 3.261 -8.439
-4.112 5.858 -7.575
Pb Ta W
1 1 2
Direct
0.250 0.250 0.250
0.750 0.750 0.750
0.004 0.004 0.004
0.496 0.496 0.496
```

Properties
Its calculated formation energy is 0.84 eV/atom. As for the space group: R-3m (166). The size of the total moment comes out at 0.00 μB/f.u. The value obtained for the total energy is -38.12 eV for the cell shown.